1.
Compound: Cd5GaSn
Source: Alexandria
Functional: GGA-PBE
Structure: optimized geometry

Results
Theoretical density, g/cm³: 7.23
N(E_F), states/eV/atom: 0.489
Calculated formation energy, eV/atom: 0.084

Lattice parameters (Å, degrees): 7.6776 7.6779 7.6779 72.61 64.00 105.23
Atoms (fractional coordinates):
Cd 0.4515 0.7122 0.2392
Cd 0.9515 0.6907 0.7608
Cd 0.0485 0.3093 0.2392
Cd 0.2500 0.2637 0.4863
Cd 0.5485 0.2878 0.7608
Cd 0.7419 0.5000 0.2581
Cd 0.2419 0.0000 0.2581
Cd 0.7581 0.0000 0.7419
Cd 0.7500 0.7363 0.5137
Cd 0.2581 0.5000 0.7419
Ga 0.7500 0.2430 0.0070
Ga 0.2500 0.7570 0.9930
Sn 0.0000 0.0000 0.0000
Sn 0.5000 0.0000 0.5000



2.
Compound: Cd2Ga3Sn
Source: Alexandria
Functional: GGA-PBE
Structure: optimized geometry

Results
Theoretical density, g/cm³: 6.88
N(E_F), states/eV/atom: 0.337
Calculated formation energy, eV/atom: 0.069

Lattice parameters (Å, degrees): 5.9523 6.7255 6.7255 97.60 90.00 90.00
Atoms (fractional coordinates):
Cd 0.5000 0.6884 0.6884
Cd 0.5000 0.3116 0.3116
Cd 0.0000 0.3116 0.3116
Cd 0.0000 0.6884 0.6884
Ga 0.7500 0.9160 0.4190
Ga 0.7500 0.5810 0.0840
Ga 0.2500 0.0273 0.9727
Ga 0.2500 0.0840 0.5810
Ga 0.7500 0.9727 0.0273
Ga 0.2500 0.4190 0.9160
Sn 0.2500 0.7417 0.2583
Sn 0.7500 0.2583 0.7417